No. 1
Here is a relaxed structure of SrMgAg2Sn2 from the Alexandria database. Energies are from PBE. Values from VASP.

Structure (Quantum ESPRESSO input):
```
&SYSTEM
  ibrav = 0, nat = 6, ntyp = 4
/
ATOMIC_SPECIES
Ag 107.87 Ag.upf
Sr 87.62 Sr.upf
Sn 118.71 Sn.upf
Mg 24.30 Mg.upf
ATOMIC_POSITIONS crystal
Ag 0.6667 0.3333 0.6551
Sr 0.0000 0.0000 0.0000
Sn 0.3333 0.6667 0.7366
Mg 0.0000 0.0000 0.5000
Ag 0.3333 0.6667 0.3449
Sn 0.6667 0.3333 0.2634
CELL_PARAMETERS angstrom
4.7328 0.0000 0.0000
-2.3664 4.0987 0.0000
0.0000 0.0000 7.7472
```

---

No. 2
Here is a relaxed structure of SrMgAgSn2 from the Alexandria database. Energies are from PBE. Values from VASP.

Structure (Quantum ESPRESSO input):
```
&SYSTEM
  ibrav = 0, nat = 5, ntyp = 4
/
ATOMIC_SPECIES
Sr 87.62 Sr.upf
Mg 24.30 Mg.upf
Sn 118.71 Sn.upf
Ag 107.87 Ag.upf
ATOMIC_POSITIONS crystal
Sr 0.0000 0.0000 0.0000
Mg 0.7500 0.2500 0.5000
Sn 0.6153 0.6153 0.2306
Ag 0.2500 0.7500 0.5000
Sn 0.3847 0.3847 0.7694
CELL_PARAMETERS angstrom
4.6729 0.0000 0.0000
0.0000 4.6729 0.0000
-2.3365 -2.3365 6.1896
```

---

no.,E_form (eV/atom)
1,-0.33
2,-0.41